Entry 1:
## NaThAg2S4 (PBE-GGA)

Data for a geometry-optimized NaThAg2S4 structure.

Calculated values
Uncorrected formation energy: -0.856 eV per atom

```
data_NaThAg2S4
_symmetry_space_group_name_H-M 'P 1'
_symmetry_Int_Tables_number 1
_symmetry_space_group_name_Hall 'P 1'
_cell_length_a 6.1638
_cell_length_b 6.1638
_cell_length_c 6.1638
_cell_angle_alpha 110.60
_cell_angle_beta 110.59
_cell_angle_gamma 107.25
loop_
_atom_site_label
_atom_site_fract_x
_atom_site_fract_y
_atom_site_fract_z
Na1 0.0000 0.0000 0.0000
Th1 0.5000 0.5000 0.0000
Ag1 0.2508 0.7508 0.5000
Ag2 0.7492 0.2492 0.5000
S1 0.0441 0.0441 0.5745
S2 0.4696 0.4696 0.4255
S3 0.5304 0.9559 0.0000
S4 0.9559 0.5304 0.0000
```

=====

Entry 2:
## AlPt3F (PBE-GGA)

Data for a geometry-optimized AlPt3F structure.

Calculated values
Polymorph energy (0 for the lowest one): 0.000 eV/f.u.
Uncorrected formation energy: 0.519 eV per atom

```
data_AlPt3F
_symmetry_space_group_name_H-M 'P 1'
_symmetry_Int_Tables_number 1
_symmetry_space_group_name_Hall 'P 1'
_cell_length_a 4.3564
_cell_length_b 4.3564
_cell_length_c 4.3564
_cell_angle_alpha 90.00
_cell_angle_beta 90.00
_cell_angle_gamma 90.00
loop_
_atom_site_label
_atom_site_fract_x
_atom_site_fract_y
_atom_site_fract_z
Al1 0.0000 0.0000 0.0000
Pt1 0.0000 0.5000 0.5000
Pt2 0.5000 0.0000 0.5000
Pt3 0.5000 0.5000 0.0000
F1 0.5000 0.5000 0.5000
```

=====

Entry 3:
## TlGeSe2N (PBE-GGA)

Data for a geometry-optimized TlGeSe2N structure.

Calculated values
Polymorph energy (0 for the lowest one): 0.000 eV/f.u.
Uncorrected formation energy: 0.478 eV per atom

```
data_TlGeSe2N
_symmetry_space_group_name_H-M 'P 1'
_symmetry_Int_Tables_number 1
_symmetry_space_group_name_Hall 'P 1'
_cell_length_a 5.4836
_cell_length_b 5.4836
_cell_length_c 3.5495
_cell_angle_alpha 90.00
_cell_angle_beta 90.00
_cell_angle_gamma 90.00
loop_
_atom_site_label
_atom_site_fract_x
_atom_site_fract_y
_atom_site_fract_z
Tl1 0.0000 0.0000 0.0000
Ge1 0.5000 0.5000 0.5000
Se1 0.0000 0.5000 0.5000
Se2 0.5000 0.0000 0.5000
N1 0.5000 0.5000 0.0000
```

=====

Entry 4:
## ScMnAlTc (PBE-GGA)

Data for a geometry-optimized ScMnAlTc structure.

Calculated values
ΔH_f (0 K): -191 meV per atom

```
data_ScMnAlTc
_symmetry_space_group_name_H-M 'P 1'
_symmetry_Int_Tables_number 1
_symmetry_space_group_name_Hall 'P 1'
_cell_length_a 4.4460
_cell_length_b 4.4460
_cell_length_c 4.4460
_cell_angle_alpha 60.00
_cell_angle_beta 60.00
_cell_angle_gamma 60.00
loop_
_atom_site_label
_atom_site_fract_x
_atom_site_fract_y
_atom_site_fract_z
Sc1 0.0000 0.0000 0.0000
Mn1 0.7500 0.7500 0.7500
Al1 0.5000 0.5000 0.5000
Tc1 0.2500 0.2500 0.2500
```

=====

| no. | DOS at the Fermi energy (states/eV per cell) | size of the total moment (μB/atom) |
| --- | --- | --- |
| 1 | 1.2 | 0.000 |
| 2 | 3.4 | 0.000 |
| 3 | 3.8 | 0.000 |
| 4 | 3.9 | 0.831 |